Entry 1:
Density functional theory data (PBE) for a relaxed POs2Rh crystal.

a = 3.8085 Å, b = 5.3266 Å, c = 5.3266 Å
α = 30.89°, β = 90.00°, γ = 90.00°
Last column: nearest neighbours and their distance in Å.
Fractional positions:
P 0.0000 0.0000 0.0000  3 Os 2.35-2.46, 4 Rh 2.52
Os 0.0000 0.2291 0.2291  1 P 2.35
Os 0.5000 0.8486 0.8486  2 P 2.46, 4 Os 2.67, 1 Rh 2.74
Rh 0.5000 0.5819 0.5819  4 P 2.52, 7 Os 2.74-2.81

Output
- formation enthalpy at 0 K (eV/atom) = -0.04
- SG = Amm2, No. 38
- total magnetization (μB per cell) = 0.00
- total energy (eV per cell) = -35.37

Entry 2:
Density functional theory data (PBE) for a relaxed P2OsRh crystal.

a = 3.0083 Å, b = 3.6164 Å, c = 4.9894 Å
α = 90.00°, β = 90.00°, γ = 90.00°
Last column: nearest neighbours and their distance in Å.
Fractional positions:
P 0.0000 0.0000 0.0000  2 Rh 2.42-2.57, 4 Os 2.46
P 0.5000 0.5000 0.3528  4 Rh 2.44, 2 Os 2.47-2.52
Os 0.5000 0.5000 0.8569  6 P 2.46-2.52
Rh 0.0000 0.0000 0.4848  6 P 2.42-2.57

Output
- formation enthalpy at 0 K (eV/atom) = -0.23
- SG = Pmm2, No. 25
- total magnetization (μB per cell) = 0.00
- total energy (eV per cell) = -30.30

Entry 3:
Density functional theory data (PBE) for a relaxed P2OsRh crystal.

a = 6.4016 Å, b = 6.4016 Å, c = 6.4016 Å
α = 131.59°, β = 131.59°, γ = 70.87°
Last column: nearest neighbours and their distance in Å.
Fractional positions:
P 0.1212 0.6250 0.9962  2 Os 2.26, 2 Rh 2.28
P 0.3750 0.3712 0.4962  2 Os 2.26, 2 Rh 2.28
P 0.6288 0.1250 0.0038  2 Os 2.26, 2 Rh 2.28
P 0.8750 0.8788 0.5038  2 Os 2.26, 2 Rh 2.28
Os 0.0000 0.0000 0.0000  4 P 2.26
Os 0.7500 0.2500 0.5000  4 P 2.26
Rh 0.2500 0.7500 0.5000  4 P 2.28
Rh 0.5000 0.5000 0.0000  4 P 2.28

Output
- formation enthalpy at 0 K (eV/atom) = -0.27
- SG = I-42d, No. 122
- total magnetization (μB per cell) = 0.00
- total energy (eV per cell) = -60.92

Entry 4:
Density functional theory data (PBE) for a relaxed POs2Rh crystal.

a = 6.5744 Å, b = 6.5744 Å, c = 6.5744 Å
α = 131.54°, β = 131.54°, γ = 70.96°
Last column: nearest neighbours and their distance in Å.
Fractional positions:
P 0.0000 0.0000 0.0000  4 Os 2.26
P 0.7500 0.2500 0.5000  4 Os 2.26
Os 0.1002 0.6250 0.9752  2 P 2.26, 2 Rh 2.41
Os 0.3750 0.3502 0.4752  2 P 2.26, 2 Rh 2.41
Os 0.6498 0.1250 0.0248  2 P 2.26, 2 Rh 2.41
Os 0.8750 0.8998 0.5248  2 P 2.26, 2 Rh 2.41
Rh 0.2500 0.7500 0.5000  4 Os 2.41
Rh 0.5000 0.5000 0.0000  4 Os 2.41

Output
- formation enthalpy at 0 K (eV/atom) = 0.75
- SG = I-42d, No. 122
- total magnetization (μB per cell) = 0.00
- total energy (eV per cell) = -64.44

Entry 5:
Density functional theory data (PBE) for a relaxed P2OsRh crystal.

a = 4.8508 Å, b = 4.8508 Å, c = 4.8508 Å
α = 145.30°, β = 116.70°, γ = 74.25°
Last column: nearest neighbours and their distance in Å.
Fractional positions:
P 0.2483 0.2483 0.0000  2 Os 2.40, 2 Rh 2.43
P 0.7517 0.7517 0.0000  2 Os 2.40, 2 Rh 2.43
Os 0.0000 0.5000 0.5000  4 P 2.40
Rh 0.5000 0.0000 0.5000  4 P 2.43

Output
- formation enthalpy at 0 K (eV/atom) = 0.29
- SG = Immm, No. 71
- total magnetization (μB per cell) = 0.00
- total energy (eV per cell) = -28.23

Entry 6:
Density functional theory data (PBE) for a relaxed P2OsRh crystal.

a = 2.7613 Å, b = 2.7613 Å, c = 9.6577 Å
α = 90.00°, β = 90.00°, γ = 118.12°
Last column: nearest neighbours and their distance in Å.
Fractional positions:
P 0.0000 0.0000 0.0000  2 Os 2.34
P 0.5000 0.5000 0.3593  2 Rh 2.35
Os 0.5000 0.5000 0.8080  2 P 2.34
Rh 0.0000 0.0000 0.5531  2 P 2.35

Output
- formation enthalpy at 0 K (eV/atom) = 0.31
- SG = Cmm2, No. 35
- total magnetization (μB per cell) = 0.00
- total energy (eV per cell) = -28.17

Entry 7:
Density functional theory data (PBE) for a relaxed POs2Rh crystal.

a = 2.7545 Å, b = 4.5224 Å, c = 4.5718 Å
α = 90.00°, β = 90.00°, γ = 90.00°
Last column: nearest neighbours and their distance in Å.
Fractional positions:
P 0.0000 0.0000 0.0000  4 Rh 2.65, 4 Os 2.67, 2 P 2.75
Os 0.0000 0.5000 0.5000  6 Os 2.65-2.75, 4 Rh 2.67
Os 0.5000 0.0000 0.5000  6 Os 2.65-2.75, 4 P 2.67
Rh 0.5000 0.5000 0.0000  4 P 2.65, 4 Os 2.67, 2 Rh 2.75

Output
- formation enthalpy at 0 K (eV/atom) = 0.44
- SG = Pmmm, No. 47
- total magnetization (μB per cell) = 0.01
- total energy (eV per cell) = -33.48

Entry 8:
Density functional theory data (PBE) for a relaxed ZrPOsRh2 crystal.

a = 4.7197 Å, b = 4.7197 Å, c = 4.8335 Å
α = 90.00°, β = 90.00°, γ = 90.00°
Last column: nearest neighbours and their distance in Å.
Fractional positions:
Zr 0.0000 0.0000 0.0000  4 Rh 2.36, 2 P 2.42
P 0.0000 0.0000 0.5000  2 Zr 2.42
Os 0.5000 0.5000 0.5000  4 P 3.34, 8 Rh 3.38
Rh 0.0000 0.5000 0.0000  2 Zr 2.36
Rh 0.5000 0.0000 0.0000  2 Zr 2.36

Output
- formation enthalpy at 0 K (eV/atom) = 1.63
- SG = P4/mmm, No. 123
- total magnetization (μB per cell) = 3.29
- total energy (eV per cell) = -31.76

Entry 9:
Density functional theory data (PBE) for a relaxed POsRu crystal.

a = 3.9375 Å, b = 3.9375 Å, c = 3.9375 Å
α = 60.00°, β = 60.00°, γ = 60.00°
Last column: nearest neighbours and their distance in Å.
Fractional positions:
P 0.0000 0.0000 0.0000  4 Os 2.41, 4 Ru 2.41
Os 0.7500 0.7500 0.7500  4 P 2.41
Ru 0.2500 0.2500 0.2500  4 P 2.41

Output
- formation enthalpy at 0 K (eV/atom) = -0.07
- SG = F-43m, No. 216
- total magnetization (μB per cell) = 0.00
- total energy (eV per cell) = -26.14

Entry 10:
Density functional theory data (PBE) for a relaxed POs2Ru crystal.

a = 2.8295 Å, b = 2.8295 Å, c = 6.7223 Å
α = 90.00°, β = 90.00°, γ = 90.00°
Last column: nearest neighbours and their distance in Å.
Fractional positions:
P 0.0000 0.0000 0.0000  4 Ru 2.42, 4 Os 2.51
Os 0.0000 0.0000 0.4991  8 Os 2.72-2.83, 4 Ru 2.83
Os 0.5000 0.5000 0.7736  4 P 2.51, 4 Os 2.72
Ru 0.5000 0.5000 0.2021  4 P 2.42

Output
- formation enthalpy at 0 K (eV/atom) = 0.00
- SG = P4mm, No. 99
- total magnetization (μB per cell) = 0.00
- total energy (eV per cell) = -37.14

Entry 11:
Density functional theory data (PBE) for a relaxed POs2Ru crystal.

a = 8.2851 Å, b = 8.2851 Å, c = 8.2851 Å
α = 19.36°, β = 19.36°, γ = 19.36°
Last column: nearest neighbours and their distance in Å.
Fractional positions:
P 0.0000 0.0000 0.0000  3 Ru 2.43, 3 Os 2.46
Os 0.2569 0.2569 0.2569  3 P 2.46, 3 Os 2.74
Os 0.4994 0.4994 0.4994  9 Os 2.74-2.79, 3 Ru 2.75
Ru 0.7414 0.7414 0.7414  3 P 2.43

Output
- formation enthalpy at 0 K (eV/atom) = 0.06
- SG = R3m, No. 160
- total magnetization (μB per cell) = 0.00
- total energy (eV per cell) = -36.92

Entry 12:
Density functional theory data (PBE) for a relaxed POs2Ru crystal.

a = 2.7836 Å, b = 2.7836 Å, c = 8.4144 Å
α = 90.00°, β = 90.00°, γ = 119.63°
Last column: nearest neighbours and their distance in Å.
Fractional positions:
P 0.0000 0.0000 0.0000  2 Ru 2.32, 2 Os 2.35
Os 0.0000 0.0000 0.4971  2 Ru 2.72, 8 Os 2.73-2.80
Os 0.5000 0.5000 0.7752  2 P 2.35
Ru 0.5000 0.5000 0.2194  2 P 2.32

Output
- formation enthalpy at 0 K (eV/atom) = 0.50
- SG = Cmm2, No. 35
- total magnetization (μB per cell) = 0.00
- total energy (eV per cell) = -35.13